one:
A plane-wave DFT calculation with GGA-PBE was carried out for a relaxed structure of Te2RuIN.

Results
Crystal system = tetragonal
DOS at the Fermi energy = 4.184 states/eV/cell

Geometry as CIF:
```
data_Te2RuIN
_cell_length_a 4.750
_cell_length_b 4.750
_cell_length_c 4.658
_cell_angle_alpha 90.00
_cell_angle_beta 90.00
_cell_angle_gamma 90.00
_space_group_name_H-M_alt 'P 4/m m m'
_space_group_IT_number 123
_space_group_name_Hall '-P 4 2'
loop_
_atom_site_label
_atom_site_type_symbol
_atom_site_fract_x
_atom_site_fract_y
_atom_site_fract_z
_atom_site_occupancy
Te1 Te 0.000 0.500 0.000 1
Ru1 Ru 0.000 0.000 0.500 1
I1 I 0.500 0.500 0.500 1
N1 N 0.500 0.500 0.000 1
```

=====

two:
A plane-wave DFT calculation with GGA-PBE was carried out for a relaxed structure of Te2RuIN.

Results
Crystal system = tetragonal
DOS at the Fermi energy = 8.853 states/eV/cell

Geometry as CIF:
```
data_Te2RuIN
_cell_length_a 5.065
_cell_length_b 5.065
_cell_length_c 5.517
_cell_angle_alpha 90.00
_cell_angle_beta 90.00
_cell_angle_gamma 90.00
_space_group_name_H-M_alt 'P 4/m m m'
_space_group_IT_number 123
_space_group_name_Hall '-P 4 2'
loop_
_atom_site_label
_atom_site_type_symbol
_atom_site_fract_x
_atom_site_fract_y
_atom_site_fract_z
_atom_site_occupancy
Te1 Te 0.000 0.500 0.000 1
Ru1 Ru 0.000 0.000 0.000 1
I1 I 0.000 0.000 0.500 1
N1 N 0.500 0.500 0.500 1
```

=====

Name the least stable of them. two.

=====

one:
A plane-wave DFT calculation with GGA-PBE was carried out for a relaxed structure of TeRuIN2.

Results
Crystal system = tetragonal
DOS at the Fermi energy = 4.457 states/eV/cell

Geometry as CIF:
```
data_TeRuIN2
_cell_length_a 4.019
_cell_length_b 4.019
_cell_length_c 5.871
_cell_angle_alpha 90.00
_cell_angle_beta 90.00
_cell_angle_gamma 90.00
_space_group_name_H-M_alt 'P 4/m m m'
_space_group_IT_number 123
_space_group_name_Hall '-P 4 2'
loop_
_atom_site_label
_atom_site_type_symbol
_atom_site_fract_x
_atom_site_fract_y
_atom_site_fract_z
_atom_site_occupancy
Te1 Te 0.000 0.000 0.000 1
Ru1 Ru 0.500 0.500 0.500 1
I1 I 0.500 0.500 0.000 1
N1 N 0.000 0.500 0.500 1
```

=====

two:
A plane-wave DFT calculation with GGA-PBE was carried out for a relaxed structure of TeRuIN2.

Results
Crystal system = tetragonal
DOS at the Fermi energy = 3.842 states/eV/cell

Geometry as CIF:
```
data_TeRuIN2
_cell_length_a 4.025
_cell_length_b 4.025
_cell_length_c 5.785
_cell_angle_alpha 90.00
_cell_angle_beta 90.00
_cell_angle_gamma 90.00
_space_group_name_H-M_alt 'P 4/m m m'
_space_group_IT_number 123
_space_group_name_Hall '-P 4 2'
loop_
_atom_site_label
_atom_site_type_symbol
_atom_site_fract_x
_atom_site_fract_y
_atom_site_fract_z
_atom_site_occupancy
Te1 Te 0.000 0.000 0.000 1
Ru1 Ru 0.000 0.000 0.500 1
I1 I 0.500 0.500 0.000 1
N1 N 0.000 0.500 0.500 1
```

=====

Name the least stable of them. one.

=====

one:
A plane-wave DFT calculation with GGA-PBE was carried out for a relaxed structure of TiRuIN2.

Results
Crystal system = tetragonal
DOS at the Fermi energy = 8.089 states/eV/cell

Geometry as CIF:
```
data_TiRuIN2
_cell_length_a 3.869
_cell_length_b 3.869
_cell_length_c 5.730
_cell_angle_alpha 90.00
_cell_angle_beta 90.00
_cell_angle_gamma 90.00
_space_group_name_H-M_alt 'P 4/m m m'
_space_group_IT_number 123
_space_group_name_Hall '-P 4 2'
loop_
_atom_site_label
_atom_site_type_symbol
_atom_site_fract_x
_atom_site_fract_y
_atom_site_fract_z
_atom_site_occupancy
Ti1 Ti 0.000 0.000 0.000 1
Ru1 Ru 0.500 0.500 0.500 1
I1 I 0.500 0.500 0.000 1
N1 N 0.000 0.500 0.500 1
```

=====

two:
A plane-wave DFT calculation with GGA-PBE was carried out for a relaxed structure of TiRuIN2.

Results
Crystal system = tetragonal
DOS at the Fermi energy = 6.365 states/eV/cell

Geometry as CIF:
```
data_TiRuIN2
_cell_length_a 3.895
_cell_length_b 3.895
_cell_length_c 5.937
_cell_angle_alpha 90.00
_cell_angle_beta 90.00
_cell_angle_gamma 90.00
_space_group_name_H-M_alt 'P 4/m m m'
_space_group_IT_number 123
_space_group_name_Hall '-P 4 2'
loop_
_atom_site_label
_atom_site_type_symbol
_atom_site_fract_x
_atom_site_fract_y
_atom_site_fract_z
_atom_site_occupancy
Ti1 Ti 0.000 0.000 0.000 1
Ru1 Ru 0.500 0.500 0.500 1
I1 I 0.000 0.000 0.500 1
N1 N 0.000 0.500 0.000 1
```

=====

Name the least stable of them. one.

=====

one:
A plane-wave DFT calculation with GGA-PBE was carried out for a relaxed structure of TiRuI2N.

Results
Crystal system = tetragonal
DOS at the Fermi energy = 3.529 states/eV/cell

Geometry as CIF:
```
data_TiRuI2N
_cell_length_a 5.657
_cell_length_b 5.657
_cell_length_c 3.709
_cell_angle_alpha 90.00
_cell_angle_beta 90.00
_cell_angle_gamma 90.00
_space_group_name_H-M_alt 'P 4/m m m'
_space_group_IT_number 123
_space_group_name_Hall '-P 4 2'
loop_
_atom_site_label
_atom_site_type_symbol
_atom_site_fract_x
_atom_site_fract_y
_atom_site_fract_z
_atom_site_occupancy
Ti1 Ti 0.000 0.000 0.000 1
Ru1 Ru 0.500 0.500 0.500 1
I1 I 0.000 0.500 0.000 1
N1 N 0.000 0.000 0.500 1
```

=====

two:
A plane-wave DFT calculation with GGA-PBE was carried out for a relaxed structure of TiRuI2N.

Results
Crystal system = tetragonal
DOS at the Fermi energy = 8.039 states/eV/cell

Geometry as CIF:
```
data_TiRuI2N
_cell_length_a 5.546
_cell_length_b 5.546
_cell_length_c 3.697
_cell_angle_alpha 90.00
_cell_angle_beta 90.00
_cell_angle_gamma 90.00
_space_group_name_H-M_alt 'P 4/m m m'
_space_group_IT_number 123
_space_group_name_Hall '-P 4 2'
loop_
_atom_site_label
_atom_site_type_symbol
_atom_site_fract_x
_atom_site_fract_y
_atom_site_fract_z
_atom_site_occupancy
Ti1 Ti 0.000 0.000 0.000 1
Ru1 Ru 0.500 0.500 0.500 1
I1 I 0.000 0.500 0.500 1
N1 N 0.500 0.500 0.000 1
```

=====

Name the least stable of them. two.